(1)
An optimized crystal structure of Zn2CoIr, computed with GGA-PBE.

abc: 2.926 4.327 8.376
angles: 90.00 90.00 90.00
Fractional positions:
Zn 0.000 0.000 0.240
Zn 0.000 0.000 0.760
Zn 0.500 0.500 0.260
Zn 0.500 0.500 0.740
Co 0.000 0.500 0.500
Co 0.500 0.000 0.000
Ir 0.000 0.500 0.000
Ir 0.500 0.000 0.500

Summary:
* calculated formation energy: -38 meV/atom
* Fermi-level density of states: 7.13 states/eV/cell

=====

(2)
An optimized crystal structure of RbSiSb2I, computed with GGA-PBE.

abc: 7.116 7.116 6.601
angles: 90.00 90.00 90.00
Fractional positions:
Rb 0.000 0.000 0.000
Si 0.500 0.500 0.500
Sb 0.000 0.500 0.000
Sb 0.500 0.000 0.000
I 0.000 0.000 0.500

Summary:
* Fermi-level density of states: 7.94 states/eV/cell
* energy relative to the lowest polymorph listed for this composition: 6.89 eV/f.u.

=====

(3)
An optimized crystal structure of ScGaN2O, computed with GGA-PBE.

abc: 3.798 3.798 3.891
angles: 90.00 90.00 90.00
Fractional positions:
Sc 0.000 0.000 0.000
Ga 0.500 0.500 0.500
N 0.000 0.500 0.500
N 0.500 0.000 0.500
O 0.500 0.500 0.000

Summary:
* E_tot: -6.422 eV/atom
* Fermi-level density of states: 4.08 states/eV/cell

=====

(4)
An optimized crystal structure of Na2LiTe2, computed with GGA-PBE.

abc: 8.803 8.803 3.634
angles: 90.00 90.00 90.00
Fractional positions:
Na 0.124 0.376 0.000
Na 0.376 0.876 0.000
Na 0.624 0.124 0.000
Na 0.876 0.624 0.000
Li 0.000 0.000 0.500
Li 0.500 0.500 0.500
Te 0.178 0.678 0.500
Te 0.322 0.178 0.500
Te 0.678 0.822 0.500
Te 0.822 0.322 0.500

Summary:
* Fermi-level density of states: 1.26 states/eV/cell
* energy relative to the lowest polymorph listed for this composition: 0.50 eV/f.u.